# YRuWS2

Crystalline YRuWS2 at its relaxed geometry (PBE, Alexandria).

Cell lengths 4.9685, 4.9685, 5.3564 Å; angles 90.00, 90.00, 90.00 degrees
Space group P4/mmm (No. 123)
One atom of each set of equivalent atoms:
Y (0.0000, 0.0000, 0.0000) [1 per cell]
Ru (0.5000, 0.5000, 0.5000) [1 per cell]
W (0.0000, 0.0000, 0.5000) [1 per cell]
S (0.0000, 0.5000, 0.0000) [2 per cell]

Output
- Total DFT energy (no corrections): -27.92 eV/cell
- Raw formation energy: 1.805 eV/atom

# Ag2Pd12Au5

Crystalline Ag2Pd12Au5 at its relaxed geometry (PBE, Alexandria).

Cell lengths 15.3025, 5.4917, 8.9882 Å; angles 90.00, 105.80, 90.00 degrees
Space group C2/m (No. 12)
One atom of each set of equivalent atoms:
Ag (0.0000, 0.2501, 0.0000) [4 per cell]
Pd (0.0195, 0.0000, 0.3663) [4 per cell]
Pd (0.1149, 0.5000, 0.8510) [4 per cell]
Pd (0.1506, 0.2421, 0.6088) [8 per cell]
Pd (0.2084, 0.2573, 0.1256) [8 per cell]
Au (0.0000, 0.5000, 0.5000) [2 per cell]
Au (0.1264, 0.0000, 0.8708) [4 per cell]
Au (0.1941, 0.0000, 0.3754) [4 per cell]

Output
- Energy relative to the lowest polymorph listed for this composition: 170 meV per atom
- Total DFT energy (no corrections): -160.24 eV/cell
- Energy relative to the elements: 0.225 eV/atom

# La4PrTm6

Crystalline La4PrTm6 at its relaxed geometry (PBE, Alexandria).

Cell lengths 6.7702, 6.7702, 16.8987 Å; angles 90.00, 90.00, 90.00 degrees
Space group I-42m (No. 121)
One atom of each set of equivalent atoms:
La (0.1906, 0.1906, 0.3236) [8 per cell]
Pr (0.0000, 0.0000, 0.5000) [2 per cell]
Tm (0.0000, 0.5000, 0.0000) [4 per cell]
Tm (0.1749, 0.1749, 0.1182) [8 per cell]

Output
- Total DFT energy (no corrections): -96.00 eV/cell
- Energy relative to the elements: 0.302 eV/atom

# NaPdF

Crystalline NaPdF at its relaxed geometry (PBE, Alexandria).

Cell lengths 4.1797, 4.1797, 3.2029 Å; angles 90.00, 90.00, 120.00 degrees
Space group P-6m2 (No. 187)
One atom of each set of equivalent atoms:
Na (0.0000, 0.0000, 0.0000) [1 per cell]
Pd (0.6667, 0.3333, 0.5000) [1 per cell]
F (0.3333, 0.6667, 0.5000) [1 per cell]

Output
- Energy relative to the lowest polymorph listed for this composition: 757 meV per atom
- Total DFT energy (no corrections): -10.51 eV/cell
- Raw formation energy: -0.708 eV/atom

# Re3P

Crystalline Re3P at its relaxed geometry (PBE, Alexandria).

Cell lengths 5.0087, 8.0496, 2.8898 Å; angles 90.00, 90.00, 90.00 degrees
Space group Cmmm (No. 65)
One atom of each set of equivalent atoms:
Re (0.0000, 0.0000, 0.0000) [2 per cell]
Re (0.2500, 0.2500, 0.5000) [4 per cell]
P (0.0000, 0.5000, 0.0000) [2 per cell]

Output
- Energy relative to the lowest polymorph listed for this composition: 488 meV per atom
- Total DFT energy (no corrections): -82.58 eV/cell
- Energy relative to the elements: 0.366 eV/atom

# Ac2CdIrO6

Crystalline Ac2CdIrO6 at its relaxed geometry (PBE, Alexandria).

Cell lengths 6.0585, 8.4259, 5.8135 Å; angles 90.00, 90.00, 90.00 degrees
Space group Pmmn (No. 59, origin choice 2)
One atom of each set of equivalent atoms:
Ac (0.2500, 0.0280, 0.2375) [4 per cell]
Cd (0.2500, 0.7500, 0.7386) [2 per cell]
Ir (0.2500, 0.2500, 0.7537) [2 per cell]
O (0.0315, 0.2500, 0.0151) [4 per cell]
O (0.0366, 0.2500, 0.4902) [4 per cell]
O (0.2500, 0.0125, 0.7733) [4 per cell]

Output
- Total DFT energy (no corrections): -134.92 eV/cell
- Raw formation energy: -1.972 eV/atom

# La2TbPmPr5

Crystalline La2TbPmPr5 at its relaxed geometry (PBE, Alexandria).

Cell lengths 8.8305, 8.8305, 16.6123 Å; angles 90.00, 90.00, 90.00 degrees
Space group I4/mcm (No. 140)
One atom of each set of equivalent atoms:
La (0.1198, 0.3802, 0.0000) [8 per cell]
Tb (0.0000, 0.5000, 0.2500) [4 per cell]
Pm (0.0000, 0.0000, 0.2500) [4 per cell]
Pr (0.0000, 0.0000, 0.0000) [4 per cell]
Pr (0.2179, 0.2821, 0.3569) [16 per cell]

Output
- Total DFT energy (no corrections): -163.83 eV/cell
- Energy relative to the elements: 0.242 eV/atom

# H3PbBr

Crystalline H3PbBr at its relaxed geometry (PBE, Alexandria).

Cell lengths 4.1024, 4.1024, 4.1024 Å; angles 90.00, 90.00, 90.00 degrees
Space group Pm-3m (No. 221)
One atom of each set of equivalent atoms:
H (0.0000, 0.0000, 0.5000) [3 per cell]
Pb (0.5000, 0.5000, 0.5000) [1 per cell]
Br (0.0000, 0.0000, 0.0000) [1 per cell]

Output
- Energy relative to the lowest polymorph listed for this composition: 487 meV per atom
- Total DFT energy (no corrections): -10.76 eV/cell

# CsIO

Crystalline CsIO at its relaxed geometry (PBE, Alexandria).

Cell lengths 10.6722, 10.7842, 6.0874 Å; angles 90.00, 90.00, 90.00 degrees
Space group Cmmm (No. 65)
One atom of each set of equivalent atoms:
Cs (0.2477, 0.0000, 0.0000) [4 per cell]
I (0.0000, 0.2503, 0.0000) [4 per cell]
O (0.0576, 0.5000, 0.5000) [4 per cell]

Output
- Energy relative to the lowest polymorph listed for this composition: 0 meV per atom
- Total DFT energy (no corrections): -40.69 eV/cell
- Raw formation energy: -0.937 eV/atom

# Sm2ErCd2

Crystalline Sm2ErCd2 at its relaxed geometry (PBE, Alexandria).

Cell lengths 5.0086, 6.9449, 8.3127 Å; angles 90.00, 90.00, 90.00 degrees
Space group Immm (No. 71)
One atom of each set of equivalent atoms:
Sm (0.0000, 0.0000, 0.1968) [4 per cell]
Er (0.0000, 0.5000, 0.0000) [2 per cell]
Cd (0.0000, 0.2884, 0.5000) [4 per cell]

Output
- Energy relative to the lowest polymorph listed for this composition: 72 meV per atom
- Total DFT energy (no corrections): -33.42 eV/cell
- Energy relative to the elements: -0.176 eV/atom

# MnTlCl4

Crystalline MnTlCl4 at its relaxed geometry (PBE, Alexandria).

Cell lengths 6.5287, 6.5287, 7.7385 Å; angles 90.00, 90.00, 90.00 degrees
Space group P4/mbm (No. 127)
One atom of each set of equivalent atoms:
Mn (0.0000, 0.0000, 0.0000) [2 per cell]
Tl (0.0000, 0.5000, 0.5000) [2 per cell]
Cl (0.0000, 0.0000, 0.3010) [4 per cell]
Cl (0.1807, 0.3193, 0.0000) [4 per cell]

Output
- Energy relative to the lowest polymorph listed for this composition: 30 meV per atom
- Total DFT energy (no corrections): -49.12 eV/cell
- Raw formation energy: -0.940 eV/atom

# LaGdPt

Crystalline LaGdPt at its relaxed geometry (PBE, Alexandria).

Cell lengths 4.1768, 4.1768, 6.4277 Å; angles 90.00, 90.00, 120.00 degrees
Space group P3m1 (No. 156)
One atom of each set of equivalent atoms:
La (0.0000, 0.0000, 0.0000) [1 per cell]
Gd (0.3333, 0.6667, 0.4929) [1 per cell]
Pt (0.6667, 0.3333, 0.2579) [1 per cell]

Output
- Energy relative to the lowest polymorph listed for this composition: 13 meV per atom
- Total DFT energy (no corrections): -27.30 eV/cell
- Energy relative to the elements: -0.749 eV/atom